Computed, not measured: crystalline SrEuAgIr at its relaxed geometry at the PBE level of DFT.

## Properties
Fermi-level density of states (states/eV/f.u.): 13.30
DFT total energy (Ry/atom): -0.44941

abc: 5.202 5.202 5.202
angles: 60.00 60.00 60.00
Sites, in units of the cell vectors:
1 Sr 0.000 0.000 0.000
2 Eu 0.500 0.500 0.500
3 Ag 0.750 0.750 0.750
4 Ir 0.250 0.250 0.250